[1]
KCdSb2Te: relaxed, PBE.

Values from the calculation:
The calculation puts the energy relative to the elements, uncorrected at 1029 meV/atom. Its density of states at the Fermi level is 6.4 states/eV/f.u. The energy above the most stable polymorph in this dataset is 854 meV per atom.

Cell: 5.942 5.942 5.944 Å, 90.00 90.00 90.00°
Space group P4/mmm (No. 123)
Inequivalent atoms, fractional coordinates:
1 K 0.000 0.000 0.000
2 Cd 0.500 0.500 0.500
3 Sb 0.000 0.500 0.000
4 Te 0.000 0.000 0.500

[2]
KTlCdSb: relaxed, PBE.

Values from the calculation:
The calculation puts the energy relative to the elements, uncorrected at -96 meV/atom. Its density of states at the Fermi level is 3.0 states/eV/f.u.

Cell: 7.914 7.914 7.914 Å, 90.00 90.00 90.00°
Space group F-43m (No. 216)
Inequivalent atoms, fractional coordinates:
1 K 0.000 0.000 0.000
2 Tl 0.250 0.250 0.250
3 Cd 0.250 0.250 0.750
4 Sb 0.000 0.000 0.500

[3]
K2TlCdSb2: relaxed, PBE.

Values from the calculation:
The calculation puts the energy relative to the elements, uncorrected at -345 meV/atom. Its density of states at the Fermi level is 1.3 states/eV/f.u.

Cell: 7.283 16.219 7.209 Å, 90.00 90.00 90.00°
Space group Ibam (No. 72)
Inequivalent atoms, fractional coordinates:
1 K 0.243 0.168 0.000
2 Tl 0.000 0.000 0.250
3 Cd 0.000 0.500 0.250
4 Sb 0.231 0.394 0.000

[4]
K2TlCd3Sb4: relaxed, PBE.

Values from the calculation:
The calculation puts the energy relative to the elements, uncorrected at -222 meV/atom. Its density of states at the Fermi level is 3.3 states/eV/f.u.

Cell: 5.275 5.275 11.658 Å, 90.00 90.00 90.00°
Space group P-4m2 (No. 115)
Inequivalent atoms, fractional coordinates:
1 K 0.000 0.500 0.240
2 Tl 0.000 0.000 0.500
3 Cd 0.000 0.500 0.876
4 Cd 0.500 0.500 0.500
5 Sb 0.000 0.000 0.000
6 Sb 0.000 0.500 0.631
7 Sb 0.500 0.500 0.000

[5]
KCdSb2W: relaxed, PBE.

Values from the calculation:
The calculation puts the energy relative to the elements, uncorrected at 1511 meV/atom. Its density of states at the Fermi level is 2.7 states/eV/f.u.

Cell: 5.523 5.523 5.562 Å, 90.00 90.00 90.00°
Space group P4/mmm (No. 123)
Inequivalent atoms, fractional coordinates:
1 K 0.000 0.000 0.000
2 Cd 0.000 0.000 0.500
3 Sb 0.000 0.500 0.500
4 W 0.500 0.500 0.000

[6]
KZnCdSb: relaxed, PBE.

Values from the calculation:
The calculation puts the energy relative to the elements, uncorrected at -187 meV/atom. Its density of states at the Fermi level is 1.3 states/eV/f.u.

Cell: 4.256 4.256 14.053 Å, 90.00 90.00 90.00°
Space group P4/nmm (No. 129, origin choice 2)
Inequivalent atoms, fractional coordinates:
1 K 0.250 0.250 0.243
2 Zn 0.250 0.750 0.500
3 Cd 0.250 0.750 0.000
4 Sb 0.250 0.250 0.623

[7]
K2Zn3CdSb4: relaxed, PBE.

Values from the calculation:
The calculation puts the energy relative to the elements, uncorrected at -243 meV/atom. Its density of states at the Fermi level is 2.3 states/eV/f.u.

Cell: 4.970 4.970 11.186 Å, 90.00 90.00 90.00°
Space group P-4m2 (No. 115)
Inequivalent atoms, fractional coordinates:
1 K 0.000 0.500 0.249
2 Zn 0.000 0.500 0.876
3 Zn 0.500 0.500 0.500
4 Cd 0.000 0.000 0.500
5 Sb 0.000 0.000 0.000
6 Sb 0.000 0.500 0.635
7 Sb 0.500 0.500 0.000

[8]
KScCd: relaxed, PBE.

Values from the calculation:
The calculation puts the energy relative to the elements at 54 kJ/mol of atoms. Its density of states at the Fermi level is 4.0 states/eV/f.u. The energy above the most stable polymorph in this dataset is 396 meV per atom.

Cell: 7.584 7.584 7.584 Å, 90.00 90.00 90.00°
Space group F-43m (No. 216)
Inequivalent atoms, fractional coordinates:
1 K 0.000 0.000 0.000
2 Sc 0.000 0.000 0.500
3 Cd 0.250 0.250 0.250